Entry from Alexandria: a relaxed structure of CePuGaSi (PBE-GGA).

Cell and atoms, written as POSCAR:
```
CePuGaSi
1.0
-3.101 2.334 1.248
1.732 -0.110 4.509
2.339 3.540 -0.812
Ga Si Ce Pu
1 1 1 1
Direct
0.500 0.606 0.793
0.500 0.937 0.293
0.000 0.098 0.793
0.000 0.453 0.293
```

## Properties
raw total energy	-30.597	eV for the cell shown
energy above the lowest structure with this stoichiometry	0.000	eV per atom